A geometry-optimized Pr4TeAs2P structure. Source: Alexandria, functional GGA-PBE.

Computed properties:
The value obtained for the raw formation energy is -1518 meV/atom. The value obtained for the size of the total moment is 0.00 μB per formula unit.

Cell: 7.5025 4.3286 7.5418 Å, 90.00 109.27 90.00°
With the nearest neighbours (Å) after each atom.
Space group P2/m (No. 10)
Inequivalent atoms, fractional coordinates:
Pr: 0.2376 0.0000 0.2322 x2  3 As 2.98-3.10, 1 P 3.04, 2 Te 3.16
Pr: 0.2477 0.5000 0.7616 x2  3 As 2.98-3.10, 2 P 3.04, 1 Te 3.15
Te: 0.5000 0.5000 0.5000 x1  6 Pr 3.15-3.16
As: 0.0000 0.0000 0.5000 x1  6 Pr 3.10
As: 0.0000 0.5000 0.0000 x1  6 Pr 2.98
P: 0.5000 0.0000 0.0000 x1  6 Pr 3.04